[1]
ZrCd after structural relaxation, computed with PBE-GGA.

Output
space-group type	No. 166
spin magnetization	0.00	μB/cell
electronic total energy	-9.5	eV/f.u.
formation enthalpy at 0 K	-21	meV per atom

a = 5.643 Å, b = 5.643 Å, c = 5.643 Å
α = 31.74°, β = 31.74°, γ = 31.74°
Atoms (fractional coordinates):
Zr: 0.000 0.000 0.000
Cd: 0.500 0.500 0.500

***

[2]
Zr3Cd after structural relaxation, computed with PBE-GGA.

Output
space-group type	No. 63
spin magnetization	0.00	μB/cell
electronic total energy	-26.6	eV/f.u.
formation enthalpy at 0 K	-4	meV per atom

a = 6.233 Å, b = 6.233 Å, c = 5.032 Å
α = 90.00°, β = 90.00°, γ = 112.52°
Atoms (fractional coordinates):
Zr: 0.098 0.388 0.750
Zr: 0.098 0.902 0.750
Zr: 0.388 0.098 0.250
Zr: 0.612 0.902 0.750
Zr: 0.902 0.098 0.250
Zr: 0.902 0.612 0.250
Cd: 0.396 0.604 0.250
Cd: 0.604 0.396 0.750

***

[3]
ZrCd after structural relaxation, computed with PBE-GGA.

Output
space-group type	No. 223
spin magnetization	0.01	μB/cell
electronic total energy	-6.5	eV/f.u.
formation enthalpy at 0 K	1488	meV per atom

a = 7.899 Å, b = 7.899 Å, c = 7.899 Å
α = 90.00°, β = 90.00°, γ = 90.00°
Atoms (fractional coordinates):
Zr: 0.000 0.250 0.500
Zr: 0.000 0.750 0.500
Zr: 0.250 0.500 0.000
Zr: 0.500 0.000 0.250
Zr: 0.500 0.000 0.750
Zr: 0.750 0.500 0.000
Cd: 0.000 0.500 0.250
Cd: 0.000 0.500 0.750
Cd: 0.250 0.000 0.500
Cd: 0.500 0.250 0.000
Cd: 0.500 0.750 0.000
Cd: 0.750 0.000 0.500

***

[4]
ZrCd2 after structural relaxation, computed with PBE-GGA.

Output
space-group type	No. 123
spin magnetization	0.00	μB/cell
electronic total energy	-9.7	eV/f.u.
formation enthalpy at 0 K	220	meV per atom

a = 5.439 Å, b = 5.439 Å, c = 2.876 Å
α = 90.00°, β = 90.00°, γ = 90.00°
Atoms (fractional coordinates):
Zr: 0.000 0.000 0.000
Cd: 0.000 0.500 0.500
Cd: 0.500 0.000 0.500